1.
A plane-wave DFT calculation with PBE was carried out for Rb3Zn2Br8 after structural relaxation.

a b c (Å): 7.482 7.482 10.815
angles (deg): 69.76 69.76 60.00
Sites, in units of the cell vectors:
Rb 0.000 0.000 0.000
Rb 0.208 0.208 0.376
Rb 0.792 0.792 0.624
Zn 0.404 0.404 0.788
Zn 0.596 0.596 0.212
Br 0.218 0.737 0.307
Br 0.676 0.676 0.971
Br 0.737 0.737 0.307
Br 0.324 0.324 0.029
Br 0.263 0.263 0.693
Br 0.263 0.782 0.693
Br 0.737 0.218 0.307
Br 0.782 0.263 0.693

M_tot = 0.0 μB per cell
formation energy (no corrections) = -1182 meV per atom

2.
A plane-wave DFT calculation with PBE was carried out for SrSiSnO5 after structural relaxation.

a b c (Å): 5.774 5.774 7.317
angles (deg): 103.89 103.89 106.42
Sites, in units of the cell vectors:
O 0.312 0.888 0.622
O 0.920 0.080 0.750
O 0.396 0.246 0.093
O 0.112 0.688 0.878
O 0.246 0.396 0.593
O 0.688 0.112 0.378
O 0.604 0.754 0.907
O 0.888 0.312 0.122
O 0.080 0.920 0.250
O 0.754 0.604 0.407
Si 0.686 0.314 0.250
Si 0.314 0.686 0.750
Sr 0.339 0.661 0.250
Sr 0.661 0.339 0.750
Sn 0.000 0.000 0.000
Sn 0.000 0.000 0.500

M_tot = 0.0 μB per cell
formation energy (no corrections) = -2488 meV per atom

3.
A plane-wave DFT calculation with PBE was carried out for Y2Ho2Ru3 after structural relaxation.

a b c (Å): 4.902 4.900 7.982
angles (deg): 89.96 107.69 120.01
Sites, in units of the cell vectors:
Y 0.754 0.377 0.131
Y 0.246 0.623 0.869
Ru 0.499 0.749 0.249
Ru 0.000 0.000 0.000
Ru 0.501 0.251 0.751
Ho 0.252 0.126 0.379
Ho 0.748 0.874 0.621

M_tot = 0.0 μB per cell
electronic total energy = -7.394 eV/atom

4.
A plane-wave DFT calculation with PBE was carried out for PrDyEr5 after structural relaxation.

a b c (Å): 6.716 6.716 13.757
angles (deg): 61.42 61.42 60.53
Sites, in units of the cell vectors:
Er 0.174 0.388 0.746
Er 0.352 0.302 0.498
Er 0.167 0.833 0.750
Er 0.833 0.167 0.250
Er 0.826 0.612 0.254
Er 0.648 0.698 0.502
Er 0.698 0.648 0.002
Er 0.612 0.826 0.754
Er 0.388 0.174 0.246
Er 0.302 0.352 0.998
Dy 0.277 0.723 0.250
Dy 0.723 0.277 0.750
Pr 0.000 0.000 0.500
Pr 0.000 0.000 0.000

E above lowest polymorph = 0 meV per atom
M_tot = 0.0 μB per cell

5.
A plane-wave DFT calculation with PBE was carried out for Ta2H3 after structural relaxation.

a b c (Å): 4.859 4.859 9.738
angles (deg): 100.36 100.36 106.22
Sites, in units of the cell vectors:
Ta 0.001 0.501 0.003
Ta 0.499 0.999 0.997
Ta 0.334 0.834 0.668
Ta 0.166 0.666 0.332
Ta 0.249 0.249 0.497
Ta 0.751 0.751 0.503
Ta 0.084 0.084 0.168
Ta 0.916 0.916 0.832
H 0.589 0.573 0.659
H 0.024 0.524 0.500
H 0.226 0.226 0.000
H 0.661 0.177 0.841
H 0.774 0.774 0.000
H 0.181 0.664 0.841
H 0.069 0.086 0.659
H 0.823 0.339 0.159
H 0.427 0.411 0.341
H 0.336 0.819 0.159
H 0.476 0.976 0.500
H 0.914 0.931 0.341

M_tot = 0.0 μB per cell
electronic total energy = -6.613 eV/atom

6.
A plane-wave DFT calculation with PBE was carried out for K2InSiW after structural relaxation.

a b c (Å): 6.361 5.317 6.361
angles (deg): 90.00 90.00 90.00
Last column: magnetic moment on the atom in μB.
Sites, in units of the cell vectors:
W 0.000 0.500 0.000  2.59
K 0.000 0.000 0.500  0.00
K 0.500 0.000 0.000  0.00
Si 0.500 0.500 0.500  0.27
In 0.000 0.000 0.000  -0.01

M_tot = 4.7 μB per cell
formation energy (no corrections) = 1702 meV per atom

7.
A plane-wave DFT calculation with PBE was carried out for Li2Hg2P after structural relaxation.

a b c (Å): 6.511 6.511 4.464
angles (deg): 90.00 90.00 90.00
Sites, in units of the cell vectors:
Hg 0.659 0.841 0.500
Hg 0.159 0.659 0.500
Hg 0.841 0.341 0.500
Hg 0.341 0.159 0.500
P 0.000 0.000 0.000
P 0.500 0.500 0.000
Li 0.656 0.156 0.000
Li 0.156 0.344 0.000
Li 0.844 0.656 0.000
Li 0.344 0.844 0.000

E above lowest polymorph = 0 meV per atom
M_tot = 0.0 μB per cell

8.
A plane-wave DFT calculation with PBE was carried out for K6InAu3 after structural relaxation.

a b c (Å): 6.737 9.873 10.967
angles (deg): 90.30 90.00 90.00
Sites, in units of the cell vectors:
K 0.998 0.668 0.581
K 0.000 0.361 0.105
K 0.502 0.168 0.081
K 0.750 0.748 0.247
K 0.750 0.248 0.747
K 0.500 0.861 0.605
K 0.498 0.832 0.919
K 0.250 0.752 0.253
K 0.000 0.639 0.895
K 0.250 0.252 0.753
K 0.500 0.139 0.395
K 0.002 0.332 0.419
Au 0.002 0.957 0.750
Au 0.998 0.043 0.250
Au 0.502 0.543 0.750
Au 0.000 0.000 0.500
Au 0.500 0.500 0.000
Au 0.498 0.457 0.250
In 0.000 0.000 0.000
In 0.500 0.500 0.500

M_tot = 0.0 μB per cell
electronic total energy = -2.082 eV/atom

| no. | density of states at the Fermi level (states/eV/atom) |
| --- | --- |
| 1 | 1.315 |
| 2 | 0.000 |
| 3 | 0.672 |
| 4 | 1.374 |
| 5 | 0.437 |
| 6 | 1.189 |
| 7 | 0.411 |
| 8 | 0.412 |